# 1
# K4TmTh3Te8

A relaxed K4TmTh3Te8 crystal (PBE, Alexandria).

a b c (Å): 8.9275 9.8912 8.9275
angles (deg): 116.82 120.00 90.00
Closest atoms and distances in Å follow each position.
Positions (direct):
K1 0.5000 0.0000 0.0000  6 Te 3.57
K2 0.5000 0.0000 0.5000  6 Te 3.48-3.50
K3 0.0000 0.0000 0.0000  6 Te 3.48-3.50
K4 0.0000 0.0000 0.5000  6 Te 3.48-3.50
Tm1 0.0000 0.5000 0.0000  6 Te 3.10
Th1 0.5000 0.5000 0.0000  6 Te 3.18-3.19
Th2 0.5000 0.5000 0.5000  6 Te 3.18-3.19
Th3 0.0000 0.5000 0.5000  6 Te 3.18-3.19
Te1 0.2340 0.7152 0.9812  1 Tm 3.10, 2 Th 3.18
Te2 0.2340 0.7152 0.4681  1 Tm 3.10, 2 Th 3.18
Te3 0.2591 0.2773 0.5182  3 Th 3.19, 3 K 3.48
Te4 0.7471 0.7152 0.9812  1 Tm 3.10, 2 Th 3.18
Te5 0.2529 0.2848 0.0188  1 Tm 3.10, 2 Th 3.18
Te6 0.7409 0.7227 0.4818  3 Th 3.19, 3 K 3.48
Te7 0.7660 0.2848 0.5319  1 Tm 3.10, 2 Th 3.18
Te8 0.7660 0.2848 0.0188  1 Tm 3.10, 2 Th 3.18

DFT total energy: -75.7 eV/f.u.
ΔE_f (raw): -1.21 eV/atom
Calculated volume: 36.42 A^3/atom
D(E_F): 10.20 states/eV/cell

***

# 2
# Li3Ca2Cd2

A relaxed Li3Ca2Cd2 crystal (PBE, Alexandria).

a b c (Å): 4.6215 6.0496 7.5402
angles (deg): 111.18 90.00 112.46
Closest atoms and distances in Å follow each position.
Positions (direct):
Li1 0.5000 0.0000 0.0000  4 Cd 2.89, 2 Li 3.04
Li2 0.6330 0.2661 0.4374  3 Cd 2.87-2.89, 1 Li 3.04
Li3 0.3670 0.7339 0.5626  3 Cd 2.87-2.89, 1 Li 3.04
Ca1 0.8551 0.7102 0.2263  4 Cd 3.23-3.32, 5 Li 3.40-3.61
Ca2 0.1449 0.2898 0.7737  4 Cd 3.23-3.32, 5 Li 3.40-3.61
Cd1 0.8605 0.7211 0.7897  5 Li 2.87-2.89
Cd2 0.1395 0.2789 0.2103  5 Li 2.87-2.89

DFT total energy: -12.9 eV/f.u.
E above lowest polymorph: 0.000 eV per atom
Calculated volume: 25.62 A^3/atom
D(E_F): 4.86 states/eV/cell

***

# 3
# DyYEr5Th2

A relaxed DyYEr5Th2 crystal (PBE, Alexandria).

a b c (Å): 8.7235 8.7235 9.8429
angles (deg): 116.30 116.30 90.00
Closest atoms and distances in Å follow each position.
Positions (direct):
Dy1 0.2500 0.7500 0.5000  4 Er 3.09
Dy2 0.7500 0.2500 0.5000  4 Er 3.09
Y1 0.2500 0.2500 0.5000  10 Er 3.55-3.84
Y2 0.7500 0.7500 0.5000  10 Er 3.55-3.84
Er1 0.9297 0.4297 0.2797  1 Th 3.00, 1 Dy 3.09
Er2 0.6500 0.1500 0.7203  1 Th 3.00, 1 Dy 3.09
Er3 0.0703 0.5703 0.7203  1 Th 3.00, 1 Dy 3.09
Er4 0.1500 0.0703 0.7203  1 Th 3.00, 1 Dy 3.09
Er5 0.5703 0.6500 0.7203  1 Th 3.00, 1 Dy 3.09
Er6 0.8500 0.9297 0.2797  1 Th 3.00, 1 Dy 3.09
Er7 0.4297 0.3500 0.2797  1 Th 3.00, 1 Dy 3.09
Er8 0.3500 0.8500 0.2797  1 Th 3.00, 1 Dy 3.09
Er9 0.5000 0.5000 0.0000  4 Th 3.48, 8 Er 3.79, 2 Y 3.84
Er10 0.0000 0.0000 0.0000  4 Th 3.48, 8 Er 3.79, 2 Y 3.84
Th1 0.1194 0.3806 0.0000  1 Th 2.95, 2 Er 3.00
Th2 0.6194 0.1194 0.0000  1 Th 2.95, 2 Er 3.00
Th3 0.3806 0.8806 0.0000  1 Th 2.95, 2 Er 3.00
Th4 0.8806 0.6194 0.0000  1 Th 2.95, 2 Er 3.00

DFT total energy: -45.6 eV/f.u.
Calculated volume: 32.43 A^3/atom
D(E_F): 24.25 states/eV/cell